Entry 1:
This record from Alexandria describes a relaxed structure of CrIn2Re. The functional is PBE.

Computed properties:
M_tot in Bohr magnetons per cell: 2.7
Symmetry: No. 47
Uncorrected energy in eV per cell: -25.2
Polymorph energy (0 for the lowest one) in eV/atom: 0.3749
D(E_F) in states/eV per cell: 3.31
E_form in eV per formula unit: 2.39

The structure in CIF format:
```
data_CrIn2Re
_space_group_name_H-M_alt 'P 1'
_space_group_IT_number 1
_cell_length_a 4.1344
_cell_length_b 4.1509
_cell_length_c 4.1658
_cell_angle_alpha 90.00
_cell_angle_beta 90.00
_cell_angle_gamma 90.00
loop_
_space_group_symop_operation_xyz
'x,y,z'
loop_
_atom_site_label
_atom_site_type_symbol
_atom_site_fract_x
_atom_site_fract_y
_atom_site_fract_z
Cr1 Cr 0.0000 0.0000 0.0000
In1 In 0.0000 0.5000 0.5000
In2 In 0.5000 0.5000 0.0000
Re1 Re 0.5000 0.0000 0.5000
```

---

Entry 2:
This record from Alexandria describes a relaxed structure of CrIn2Re. The functional is PBE.

Computed properties:
M_tot in Bohr magnetons per cell: 0.0
Symmetry: No. 160
Uncorrected energy in eV per cell: -78.0
Polymorph energy (0 for the lowest one) in eV/atom: 0.1652
D(E_F) in states/eV per cell: 11.44
E_form in eV per formula unit: 1.55

The structure in CIF format:
```
data_CrIn2Re
_space_group_name_H-M_alt 'P 1'
_space_group_IT_number 1
_cell_length_a 3.0968
_cell_length_b 3.0968
_cell_length_c 26.9598
_cell_angle_alpha 90.00
_cell_angle_beta 90.00
_cell_angle_gamma 120.00
loop_
_space_group_symop_operation_xyz
'x,y,z'
loop_
_atom_site_label
_atom_site_type_symbol
_atom_site_fract_x
_atom_site_fract_y
_atom_site_fract_z
Cr1 Cr 0.0000 0.0000 0.0000
Cr2 Cr 0.3333 0.6667 0.6667
Cr3 Cr 0.6667 0.3333 0.3333
In1 In 0.0000 0.0000 0.5181
In2 In 0.0000 0.0000 0.7523
In3 In 0.3333 0.6667 0.1847
In4 In 0.3333 0.6667 0.4190
In5 In 0.6667 0.3333 0.0856
In6 In 0.6667 0.3333 0.8514
Re1 Re 0.0000 0.0000 0.2750
Re2 Re 0.3333 0.6667 0.9416
Re3 Re 0.6667 0.3333 0.6083
```

---

Entry 3:
This record from Alexandria describes a relaxed structure of CrInRe. The functional is PBE.

Computed properties:
M_tot in Bohr magnetons per cell: 6.8
Symmetry: No. 216
Uncorrected energy in eV per cell: -90.7
Polymorph energy (0 for the lowest one) in eV/atom: 0.4184
D(E_F) in states/eV per cell: 10.09
E_form in eV per formula unit: 2.12

The structure in CIF format:
```
data_CrInRe
_space_group_name_H-M_alt 'P 1'
_space_group_IT_number 1
_cell_length_a 6.0193
_cell_length_b 6.0193
_cell_length_c 6.0193
_cell_angle_alpha 90.00
_cell_angle_beta 90.00
_cell_angle_gamma 90.00
loop_
_space_group_symop_operation_xyz
'x,y,z'
loop_
_atom_site_label
_atom_site_type_symbol
_atom_site_fract_x
_atom_site_fract_y
_atom_site_fract_z
Cr1 Cr 0.0000 0.0000 0.0000
Cr2 Cr 0.0000 0.5000 0.5000
Cr3 Cr 0.5000 0.0000 0.5000
Cr4 Cr 0.5000 0.5000 0.0000
In1 In 0.2500 0.2500 0.2500
In2 In 0.2500 0.7500 0.7500
In3 In 0.7500 0.2500 0.7500
In4 In 0.7500 0.7500 0.2500
Re1 Re 0.2500 0.2500 0.7500
Re2 Re 0.2500 0.7500 0.2500
Re3 Re 0.7500 0.2500 0.2500
Re4 Re 0.7500 0.7500 0.7500
```

---

Entry 4:
This record from Alexandria describes a relaxed structure of Cr4InRe. The functional is PBE.

Computed properties:
M_tot in Bohr magnetons per cell: 0.0
Symmetry: No. 216
Uncorrected energy in eV per cell: -52.5
D(E_F) in states/eV per cell: 6.47
E_form in eV per formula unit: 1.18

The structure in CIF format:
```
data_Cr4InRe
_space_group_name_H-M_alt 'P 1'
_space_group_IT_number 1
_cell_length_a 4.8505
_cell_length_b 4.8505
_cell_length_c 4.8505
_cell_angle_alpha 60.00
_cell_angle_beta 60.00
_cell_angle_gamma 60.00
loop_
_space_group_symop_operation_xyz
'x,y,z'
loop_
_atom_site_label
_atom_site_type_symbol
_atom_site_fract_x
_atom_site_fract_y
_atom_site_fract_z
Cr1 Cr 0.1247 0.1247 0.1247
Cr2 Cr 0.1247 0.1247 0.6258
Cr3 Cr 0.1247 0.6258 0.1247
Cr4 Cr 0.6258 0.1247 0.1247
In1 In 0.7500 0.7500 0.7500
Re1 Re 0.5000 0.5000 0.5000
```